The following is a PBE-GGA calculation of a relaxed structure of Ac4Pm5Y2, from Alexandria.

volume	413.7	Å³ per cell
DFT formation energy	0.45	eV per formula unit

Unit cell a=5.367 b=8.318 c=11.307 alpha=121.44 beta=103.73 gamma=90.00
Element x y z (fractional)
Pm1 0.500 0.000 0.000
Pm2 0.139 0.086 0.277
Pm3 0.861 0.914 0.723
Pm4 0.226 0.827 0.453
Pm5 0.774 0.173 0.547
Ac1 0.044 0.357 0.087
Ac2 0.318 0.544 0.636
Ac3 0.956 0.643 0.913
Ac4 0.682 0.456 0.364
Y1 0.408 0.266 0.816
Y2 0.592 0.734 0.184

The following is a PBE-GGA calculation of a relaxed structure of SiTeAu2, from Alexandria.

volume	198.7	Å³ per cell
relative energy among the computed polymorphs	0.057	eV/atom

Unit cell a=6.626 b=6.626 c=6.514 alpha=59.43 beta=59.43 gamma=90.00
Element x y z (fractional)
Si1 0.500 0.500 0.000
Si2 0.250 0.750 0.500
Te1 0.000 0.000 0.000
Te2 0.750 0.250 0.500
Au1 0.170 0.625 0.250
Au2 0.580 0.125 0.250
Au3 0.875 0.830 0.750
Au4 0.375 0.420 0.750

Copy entry 1 word for word.
The following is a PBE-GGA calculation of a relaxed structure of Ac4Pm5Y2, from Alexandria.

volume	413.7	Å³ per cell
DFT formation energy	0.45	eV per formula unit

Unit cell a=5.367 b=8.318 c=11.307 alpha=121.44 beta=103.73 gamma=90.00
Element x y z (fractional)
Pm1 0.500 0.000 0.000
Pm2 0.139 0.086 0.277
Pm3 0.861 0.914 0.723
Pm4 0.226 0.827 0.453
Pm5 0.774 0.173 0.547
Ac1 0.044 0.357 0.087
Ac2 0.318 0.544 0.636
Ac3 0.956 0.643 0.913
Ac4 0.682 0.456 0.364
Y1 0.408 0.266 0.816
Y2 0.592 0.734 0.184